[1]
The following is a PBE-GGA calculation of a geometry-optimized SiTcNi structure, from Alexandria.

Values from the calculation:
Distance to the lowest polymorph of the same formula: 74 meV per atom

Lattice parameters (Å, degrees): 4.2428 2.8846 12.4370 90.00 95.16 90.00
Sites, in units of the cell vectors:
Si 0.2973 0.0000 0.8580
Si 0.2973 0.5000 0.3580
Si 0.1038 0.5000 0.0355
Si 0.1038 0.0000 0.5355
Tc 0.8045 0.5000 0.8533
Tc 0.8045 0.0000 0.3533
Tc 0.2394 0.5000 0.6957
Tc 0.2394 0.0000 0.1957
Ni 0.7321 0.0000 0.6823
Ni 0.5988 0.5000 0.5210
Ni 0.7321 0.5000 0.1823
Ni 0.5988 0.0000 0.0210

=====

[2]
The following is a PBE-GGA calculation of a geometry-optimized SiTcNi structure, from Alexandria.

Values from the calculation:
Distance to the lowest polymorph of the same formula: 35 meV per atom

Lattice parameters (Å, degrees): 3.5180 3.5180 6.0960 90.00 90.00 90.00
Sites, in units of the cell vectors:
Si 0.7501 0.7501 0.2521
Si 0.2499 0.2499 0.7479
Ni 0.7500 0.2500 0.0000
Ni 0.2500 0.7500 0.0000
Tc 0.7499 0.7499 0.6485
Tc 0.2501 0.2501 0.3515

=====

[3]
The following is a PBE-GGA calculation of a geometry-optimized SiTcNi structure, from Alexandria.

Values from the calculation:
Distance to the lowest polymorph of the same formula: 73 meV per atom

Lattice parameters (Å, degrees): 6.0429 2.8113 9.0073 90.00 96.08 90.00
Sites, in units of the cell vectors:
Tc 0.1878 0.0000 0.1317
Tc 0.8869 0.0000 0.4069
Tc 0.1878 0.5000 0.6317
Tc 0.8869 0.5000 0.9069
Ni 0.5545 0.5000 0.2642
Ni 0.4858 0.5000 0.9922
Ni 0.4858 0.0000 0.4922
Ni 0.5545 0.0000 0.7642
Si 0.7724 0.0000 0.1238
Si 0.2095 0.5000 0.3596
Si 0.7724 0.5000 0.6238
Si 0.2095 0.0000 0.8596

=====

[4]
The following is a PBE-GGA calculation of a geometry-optimized SiTcNi structure, from Alexandria.

Values from the calculation:
Distance to the lowest polymorph of the same formula: 103 meV per atom

Lattice parameters (Å, degrees): 3.9497 9.6477 3.9164 90.00 90.00 90.00
Sites, in units of the cell vectors:
Si 0.0000 0.5000 0.0000
Si 0.5000 0.0000 0.0000
Si 0.0000 0.0000 0.5000
Si 0.5000 0.5000 0.5000
Tc 0.5000 0.6548 0.0000
Tc 0.0000 0.8452 0.0000
Tc 0.5000 0.3452 0.0000
Tc 0.0000 0.1548 0.0000
Ni 0.0000 0.6540 0.5000
Ni 0.0000 0.3460 0.5000
Ni 0.5000 0.8460 0.5000
Ni 0.5000 0.1540 0.5000

=====

[5]
The following is a PBE-GGA calculation of a geometry-optimized SiTc3Ni structure, from Alexandria.

Values from the calculation:
Distance to the lowest polymorph of the same formula: 0 meV per atom

Lattice parameters (Å, degrees): 4.3540 4.3540 4.3540 90.00 90.00 90.00
Sites, in units of the cell vectors:
Tc 0.0000 0.0000 0.5000
Tc 0.0000 0.5000 0.0000
Tc 0.5000 0.0000 0.0000
Si 0.0000 0.0000 0.0000
Ni 0.5000 0.5000 0.5000

=====

[6]
The following is a PBE-GGA calculation of a geometry-optimized SiTcNi2 structure, from Alexandria.

Lattice parameters (Å, degrees): 3.8520 2.6340 4.9480 75.24 90.00 90.00
Sites, in units of the cell vectors:
Ni 0.0000 0.1047 0.0114
Ni 0.0000 0.3953 0.4886
Tc 0.5000 0.7500 0.7500
Si 0.5000 0.2500 0.2500

=====

[7]
The following is a PBE-GGA calculation of a geometry-optimized SiTcNi structure, from Alexandria.

Values from the calculation:
Distance to the lowest polymorph of the same formula: 600 meV per atom

Lattice parameters (Å, degrees): 4.0218 4.0218 4.0218 60.00 60.00 60.00
Sites, in units of the cell vectors:
Ni 0.0000 0.0000 0.0000
Tc 0.2500 0.2500 0.2500
Si 0.5000 0.5000 0.5000

=====

[8]
The following is a PBE-GGA calculation of a geometry-optimized SiTcNi2 structure, from Alexandria.

Lattice parameters (Å, degrees): 2.8651 2.8651 5.8286 90.00 90.00 90.00
Sites, in units of the cell vectors:
Si 0.0000 0.0000 0.4734
Tc 0.5000 0.5000 0.7449
Ni 0.0000 0.0000 0.0109
Ni 0.5000 0.5000 0.2708

=====

Short version: total moment = 0.0; 0.0; 0.0; 0.0; 0.0; 0.0; 1.4; 0.0 μB per cell, in the order given.
Short version: formation energy from raw total energies = -0.3284; -0.3678; -0.3294; -0.2994; 1.1065; -0.1969; 0.1974; -0.2145 eV per atom, in the order given.